[1]
BaPrSi3: relaxed, PBE-GGA.

Computed properties:
* VASP energy: -4.690 eV/atom

Cell lengths 4.3450, 4.3450, 13.9909 Å; angles 90.00, 90.00, 90.00 degrees
Last column: nearest neighbours and their distance in Å.
Space group I4mm (No. 107)
Symmetry-distinct sites (fractional):
Ba 0.0000 0.0000 0.0000 (multiplicity 2)  8 Si 3.24-3.27
Pr 0.0000 0.0000 0.6793 (multiplicity 2)  4 Si 2.98
Si 0.0000 0.0000 0.4270 (multiplicity 2)  4 Si 2.59
Si 0.0000 0.5000 0.3256 (multiplicity 4)  2 Si 2.59



[2]
BaPrSi: relaxed, PBE-GGA.

Computed properties:
* VASP energy: -4.225 eV/atom

Cell lengths 7.5512, 7.5512, 7.5512 Å; angles 90.00, 90.00, 90.00 degrees
Last column: nearest neighbours and their distance in Å.
Space group F-43m (No. 216)
Symmetry-distinct sites (fractional):
Ba 0.0000 0.0000 0.0000 (multiplicity 4)  4 Si 3.27
Pr 0.0000 0.0000 0.5000 (multiplicity 4)  4 Si 3.27
Si 0.2500 0.2500 0.2500 (multiplicity 4)  4 Ba 3.27, 4 Pr 3.27



[3]
BaPrZn2Si2: relaxed, PBE-GGA.

Computed properties:
* VASP energy: -3.844 eV/atom

Cell lengths 4.2732, 4.2732, 9.2035 Å; angles 90.00, 90.00, 120.00 degrees
Last column: nearest neighbours and their distance in Å.
Space group P-3m1 (No. 164)
Symmetry-distinct sites (fractional):
Ba 0.0000 0.0000 0.0000 (multiplicity 1)  6 Zn 3.54, 6 Si 3.55
Pr 0.0000 0.0000 0.5000 (multiplicity 1)  6 Si 3.21, 6 Zn 3.21
Zn 0.3333 0.6667 0.7240 (multiplicity 2)  3 Si 2.47
Si 0.3333 0.6667 0.2768 (multiplicity 2)  3 Zn 2.47



[4]
BaPrSm: relaxed, PBE-GGA.

Computed properties:
* VASP energy: -3.029 eV/atom

Cell lengths 8.3661, 8.3661, 8.3661 Å; angles 90.00, 90.00, 90.00 degrees
Last column: nearest neighbours and their distance in Å.
Space group F-43m (No. 216)
Symmetry-distinct sites (fractional):
Ba 0.0000 0.0000 0.0000 (multiplicity 4)  4 Sm 3.62
Pr 0.0000 0.0000 0.5000 (multiplicity 4)  4 Sm 3.62
Sm 0.2500 0.2500 0.2500 (multiplicity 4)  4 Ba 3.62, 4 Pr 3.62



[5]
BaPrSn: relaxed, PBE-GGA.

Computed properties:
* VASP energy: -3.596 eV/atom

Cell lengths 7.7258, 7.7258, 7.7258 Å; angles 90.00, 90.00, 90.00 degrees
Last column: nearest neighbours and their distance in Å.
Space group F-43m (No. 216)
Symmetry-distinct sites (fractional):
Ba 0.0000 0.0000 0.0000 (multiplicity 4)  4 Pr 3.35
Pr 0.2500 0.2500 0.2500 (multiplicity 4)  4 Ba 3.35, 4 Sn 3.35
Sn 0.0000 0.0000 0.5000 (multiplicity 4)  4 Pr 3.35



[6]
BaSrPr: relaxed, PBE-GGA.

Computed properties:
* VASP energy: -2.114 eV/atom

Cell lengths 8.8606, 8.8606, 8.8606 Å; angles 90.00, 90.00, 90.00 degrees
Last column: nearest neighbours and their distance in Å.
Space group F-43m (No. 216)
Symmetry-distinct sites (fractional):
Ba 0.0000 0.0000 0.0000 (multiplicity 4)  4 Pr 3.84
Sr 0.0000 0.0000 0.5000 (multiplicity 4)  4 Pr 3.84
Pr 0.2500 0.2500 0.2500 (multiplicity 4)  4 Ba 3.84, 4 Sr 3.84



[7]
BaPrTa: relaxed, PBE-GGA.

Computed properties:
* VASP energy: -4.648 eV/atom

Cell lengths 7.5818, 7.5818, 7.5818 Å; angles 90.00, 90.00, 90.00 degrees
Last column: nearest neighbours and their distance in Å.
Space group F-43m (No. 216)
Symmetry-distinct sites (fractional):
Ba 0.0000 0.0000 0.0000 (multiplicity 4)  4 Pr 3.28
Pr 0.2500 0.2500 0.2500 (multiplicity 4)  4 Ba 3.28, 4 Ta 3.28
Ta 0.0000 0.0000 0.5000 (multiplicity 4)  4 Pr 3.28



[8]
BaTbPr: relaxed, PBE-GGA.

Computed properties:
* VASP energy: -2.962 eV/atom

Cell lengths 8.2965, 8.2965, 8.2965 Å; angles 90.00, 90.00, 90.00 degrees
Last column: nearest neighbours and their distance in Å.
Space group F-43m (No. 216)
Symmetry-distinct sites (fractional):
Ba 0.0000 0.0000 0.0000 (multiplicity 4)  4 Pr 3.59
Tb 0.0000 0.0000 0.5000 (multiplicity 4)  4 Pr 3.59
Pr 0.2500 0.2500 0.2500 (multiplicity 4)  4 Ba 3.59, 4 Tb 3.59



| no. | mass density (g/cm3) |
| --- | --- |
| 1 | 4.56 |
| 2 | 4.73 |
| 3 | 5.31 |
| 4 | 4.86 |
| 5 | 5.72 |
| 6 | 3.49 |
| 7 | 7.00 |
| 8 | 5.08 |